DFT (GGA-PBEsol) results for crystalline AlCoNiSe2 at its relaxed geometry.

Values from the calculation:
Formation energy from raw total energies in meV/atom: 491
Space-group type: P4/mmm, No. 123

a b c (Å): 4.3008 4.5523 4.5523
angles (deg): 90.00 90.00 90.00
Closest atoms and distances in Å follow each position.
Fractional coordinates of all 5 atoms:
Ni1 0.5000 0.0000 0.0000  2 Co 2.15
Co1 0.0000 0.0000 0.0000  2 Ni 2.15, 4 Se 2.28
Al1 0.5000 0.5000 0.5000  8 Se 3.13, 4 Ni 3.22
Se1 0.0000 0.0000 0.5000  2 Co 2.28
Se2 0.0000 0.5000 0.0000  2 Co 2.28